Np2CoRh9: relaxed, PBE.

## Properties
Calculated total energy, Ha/atom: -0.3118
Formation energy, eV per atom: -0.221
Volume, Å³/atom: 15.40

Cell: 3.959 3.959 11.790 Å, 90.00 90.00 90.00°
Space group P4/mmm (No. 123)
Asymmetric unit:
Np  0.000  0.000  0.173 [2 per cell]
Co  0.000  0.000  0.500 [1 per cell]
Rh  0.000  0.500  0.000 [2 per cell]
Rh  0.000  0.500  0.346 [4 per cell]
Rh  0.500  0.500  0.173 [2 per cell]
Rh  0.500  0.500  0.500 [1 per cell]